Density functional theory data (PBE-GGA) for a geometry-optimized LiNiAu2 structure.

Cell lengths 4.944, 4.944, 4.944 Å; angles 134.83, 134.79, 65.82 degrees
Element x y z (fractional)
1 Au 0.750 0.250 0.500
2 Au 0.000 0.000 0.000
3 Ni 0.250 0.750 0.500
4 Li 0.500 0.500 0.000

Computed properties:
Symmetry: I-4m2
Formation energy in eV per atom: -0.197
Calculated volume in A^3/atom: 14.975
VASP energy in eV per cell: -15.04

=====

Density functional theory data (PBE-GGA) for a geometry-optimized LiNi2Au structure.

Cell lengths 8.709, 8.709, 8.709 Å; angles 17.84, 17.84, 17.84 degrees
Element x y z (fractional)
1 Ni 0.257 0.257 0.257
2 Au 0.501 0.501 0.501
3 Li 0.745 0.745 0.745
4 Ni 0.997 0.997 0.997

Computed properties:
Symmetry: R3m
Formation energy in eV per atom: 0.050
Calculated volume in A^3/atom: 13.540
VASP energy in eV per cell: -16.56

=====

Density functional theory data (PBE-GGA) for a geometry-optimized LiNiAu structure.

Cell lengths 4.400, 2.774, 13.300 Å; angles 90.00, 90.24, 90.00 degrees
Element x y z (fractional)
1 Au 0.094 0.500 0.101
2 Au 0.590 0.000 0.768
3 Li 0.591 0.000 0.092
4 Li 0.087 0.000 0.278
5 Ni 0.927 0.000 0.937
6 Au 0.590 0.500 0.268
7 Ni 0.927 0.500 0.437
8 Au 0.094 0.000 0.601
9 Ni 0.428 0.500 0.933
10 Li 0.087 0.500 0.778
11 Li 0.591 0.500 0.592
12 Ni 0.428 0.000 0.433

Computed properties:
Symmetry: Cm
Formation energy in eV per atom: -0.198
Calculated volume in A^3/atom: 13.530
VASP energy in eV per cell: -46.26

=====

Density functional theory data (PBE-GGA) for a geometry-optimized Li2NiAu5 structure.

Cell lengths 5.542, 5.542, 5.542 Å; angles 114.40, 114.40, 100.01 degrees
Element x y z (fractional)
1 Ni 0.778 0.778 0.000
2 Au 0.778 0.278 0.000
3 Li 0.278 0.778 0.500
4 Au 0.278 0.277 0.000
5 Au 0.778 0.778 0.500
6 Au 0.278 0.278 0.500
7 Au 0.278 0.778 0.000
8 Li 0.778 0.278 0.500

Computed properties:
Symmetry: I4mm
Formation energy in eV per atom: -0.270
Calculated volume in A^3/atom: 16.050
VASP energy in eV per cell: -28.16

=====

Density functional theory data (PBE-GGA) for a geometry-optimized Li2Ni2Au structure.

Cell lengths 6.789, 6.789, 2.803 Å; angles 90.00, 90.00, 90.00 degrees
Element x y z (fractional)
1 Li 0.823 0.323 0.500
2 Ni 0.380 0.880 0.000
3 Au 0.000 0.000 0.000
4 Ni 0.620 0.120 0.000
5 Li 0.677 0.823 0.500
6 Ni 0.880 0.620 0.000
7 Li 0.177 0.677 0.500
8 Au 0.500 0.500 0.000
9 Ni 0.120 0.380 0.000
10 Li 0.323 0.177 0.500

Computed properties:
Symmetry: P4/mbm
Formation energy in eV per atom: 0.018
Calculated volume in A^3/atom: 12.919
VASP energy in eV per cell: -37.16

=====

Density functional theory data (PBE-GGA) for a geometry-optimized LiNi3Au structure.

Cell lengths 3.974, 3.974, 3.974 Å; angles 90.00, 90.00, 90.00 degrees
Element x y z (fractional)
1 Ni 0.000 0.000 0.500
2 Au 0.500 0.500 0.500
3 Ni 0.000 0.500 0.000
4 Li 0.000 0.000 0.000
5 Ni 0.500 0.000 0.000

Computed properties:
Symmetry: Pm-3m
Formation energy in eV per atom: 0.639
Calculated volume in A^3/atom: 12.556
VASP energy in eV per cell: -19.34

=====

Density functional theory data (PBE-GGA) for a geometry-optimized LiNi2Au structure.

Cell lengths 3.903, 3.619, 3.619 Å; angles 90.00, 90.00, 90.00 degrees
Element x y z (fractional)
1 Au 0.500 0.500 0.000
2 Ni 0.000 0.500 0.500
3 Ni 0.000 0.000 0.000
4 Li 0.500 0.000 0.500

Computed properties:
Symmetry: P4/mmm
Formation energy in eV per atom: -0.087
Calculated volume in A^3/atom: 12.778
VASP energy in eV per cell: -17.10

=====

Density functional theory data (PBE-GGA) for a geometry-optimized LiNi2Au structure.

Cell lengths 4.176, 4.176, 4.176 Å; angles 60.00, 60.00, 60.00 degrees
Element x y z (fractional)
1 Ni 0.000 0.000 0.000
2 Li 0.750 0.750 0.750
3 Ni 0.250 0.250 0.250
4 Au 0.500 0.500 0.500

Computed properties:
Symmetry: F-43m
Formation energy in eV per atom: -0.036
Calculated volume in A^3/atom: 12.870
VASP energy in eV per cell: -16.90

=====

Density functional theory data (PBE-GGA) for a geometry-optimized LiNiAu structure.

Cell lengths 4.223, 4.223, 2.662 Å; angles 90.00, 90.00, 120.00 degrees
Element x y z (fractional)
1 Ni 0.333 0.667 0.570
2 Li 0.667 0.333 0.409
3 Au 0.000 0.000 0.021

Computed properties:
Symmetry: P3m1
Formation energy in eV per atom: -0.135
Calculated volume in A^3/atom: 13.707
VASP energy in eV per cell: -11.38

=====

Density functional theory data (PBE-GGA) for a geometry-optimized LiNiAu2 structure.

Cell lengths 4.594, 4.594, 5.076 Å; angles 81.37, 81.37, 35.46 degrees
Element x y z (fractional)
1 Au 0.009 0.009 0.997
2 Li 0.250 0.250 0.250
3 Au 0.491 0.491 0.503
4 Ni 0.750 0.750 0.750

Computed properties:
Symmetry: C2/m
Formation energy in eV per atom: -0.114
Calculated volume in A^3/atom: 15.340
VASP energy in eV per cell: -14.71

=====

Density functional theory data (PBE-GGA) for a geometry-optimized LiNiAu2 structure.

Cell lengths 4.920, 4.920, 4.513 Å; angles 77.10, 77.10, 34.19 degrees
Element x y z (fractional)
1 Au 0.008 0.008 0.945
2 Li 0.496 0.496 0.466
3 Au 0.246 0.246 0.296
4 Ni 0.749 0.749 0.793

Computed properties:
Symmetry: Cm
Formation energy in eV per atom: -0.210
Calculated volume in A^3/atom: 14.925
VASP energy in eV per cell: -15.09

=====

Density functional theory data (PBE-GGA) for a geometry-optimized LiNiAu structure.

Cell lengths 4.663, 7.956, 4.592 Å; angles 90.00, 104.26, 90.00 degrees
Element x y z (fractional)
1 Li 0.500 0.330 0.000
2 Ni 0.000 0.335 0.500
3 Au 0.500 0.500 0.500
4 Li 0.500 0.830 0.500
5 Au 0.500 0.000 0.000
6 Li 0.500 0.670 0.000
7 Au 0.000 0.500 0.000
8 Ni 0.000 0.665 0.500
9 Ni 0.000 0.165 0.000
10 Li 0.500 0.170 0.500
11 Au 0.000 0.000 0.500
12 Ni 0.000 0.835 0.000

Computed properties:
Symmetry: C2/m
Formation energy in eV per atom: -0.221
Calculated volume in A^3/atom: 13.759
VASP energy in eV per cell: -46.54

=====

Question: Which formula does entry 5 have?
Answer: Li2Ni2Au

=====

Question: formation energy of number 3 (LiNiAu)?
Answer: -0.198 eV per atom